This record from the Alexandria database describes LiCaRu after structural relaxation. The functional is PBE-GGA.

Output
As for the energy above the most stable polymorph in this dataset: 0.687 eV per atom. Its energy relative to the elements is 0.73 eV/atom. Its total energy is -44.04 eV per cell.

Cell: 6.2930 6.2930 6.2930 Å, 90.00 90.00 90.00°
Fractional coordinates of all 12 atoms:
Li1 0.0000 0.0000 0.0000
Li2 0.0000 0.5000 0.5000
Li3 0.5000 0.0000 0.5000
Li4 0.5000 0.5000 0.0000
Ca1 0.2500 0.2500 0.2500
Ca2 0.2500 0.7500 0.7500
Ca3 0.7500 0.2500 0.7500
Ca4 0.7500 0.7500 0.2500
Ru1 0.2500 0.2500 0.7500
Ru2 0.2500 0.7500 0.2500
Ru3 0.7500 0.2500 0.2500
Ru4 0.7500 0.7500 0.7500

This record from the Alexandria database describes LiCaRu after structural relaxation. The functional is PBE-GGA.

Output
As for the energy above the most stable polymorph in this dataset: 0.093 eV per atom. Its energy relative to the elements is 0.13 eV/atom. Its total energy is -51.17 eV per cell.

Cell: 10.3722 4.3149 6.1693 Å, 90.00 98.94 90.00°
Fractional coordinates of all 12 atoms:
Li1 0.0000 0.0000 0.0000
Li2 0.1901 0.5000 0.9296
Li3 0.5000 0.5000 0.0000
Li4 0.6901 0.0000 0.9296
Ca1 0.0797 0.5000 0.3564
Ca2 0.3281 0.0000 0.6751
Ca3 0.5797 0.0000 0.3564
Ca4 0.8281 0.5000 0.6751
Ru1 0.3001 0.0000 0.1662
Ru2 0.3496 0.5000 0.3226
Ru3 0.8001 0.5000 0.1662
Ru4 0.8496 0.0000 0.3226

This record from the Alexandria database describes Li2Ca2Ru after structural relaxation. The functional is PBE-GGA.

Output
As for the energy above the most stable polymorph in this dataset: 0.059 eV per atom. Its energy relative to the elements is 0.30 eV/atom. Its total energy is -31.20 eV per cell.

Cell: 6.8849 6.8849 4.6132 Å, 90.00 90.00 90.00°
Fractional coordinates of all 10 atoms:
Li1 0.1342 0.3658 0.0000
Li2 0.3658 0.8658 0.0000
Li3 0.6342 0.1342 0.0000
Li4 0.8658 0.6342 0.0000
Ca1 0.1967 0.6967 0.5000
Ca2 0.3033 0.1967 0.5000
Ca3 0.6967 0.8033 0.5000
Ca4 0.8033 0.3033 0.5000
Ru1 0.0000 0.0000 0.0000
Ru2 0.5000 0.5000 0.0000

This record from the Alexandria database describes LiCaScRu after structural relaxation. The functional is PBE-GGA.

Output
Its energy relative to the elements is -0.06 eV/atom. Its total energy is -78.98 eV per cell.

Cell: 6.7909 6.7909 6.7909 Å, 90.00 90.00 90.00°
Fractional coordinates of all 16 atoms:
Li1 0.0000 0.0000 0.0000
Li2 0.0000 0.5000 0.5000
Li3 0.5000 0.0000 0.5000
Li4 0.5000 0.5000 0.0000
Ca1 0.2500 0.2500 0.7500
Ca2 0.2500 0.7500 0.2500
Ca3 0.7500 0.2500 0.2500
Ca4 0.7500 0.7500 0.7500
Sc1 0.2500 0.2500 0.2500
Sc2 0.2500 0.7500 0.7500
Sc3 0.7500 0.2500 0.7500
Sc4 0.7500 0.7500 0.2500
Ru1 0.0000 0.0000 0.5000
Ru2 0.0000 0.5000 0.0000
Ru3 0.5000 0.0000 0.0000
Ru4 0.5000 0.5000 0.5000

This record from the Alexandria database describes LiCa2SiRu after structural relaxation. The functional is PBE-GGA.

Output
Its total energy is -17.63 eV per cell. The uncorrected formation energy comes out at 0.597 eV/atom.

Cell: 5.0728 5.0728 4.1850 Å, 90.00 90.00 90.00°
Fractional coordinates of all 5 atoms:
Li1 0.0000 0.0000 0.0000
Ca1 0.0000 0.5000 0.0000
Ca2 0.5000 0.0000 0.0000
Si1 0.5000 0.5000 0.5000
Ru1 0.0000 0.0000 0.5000

This record from the Alexandria database describes LiCaSmRu after structural relaxation. The functional is PBE-GGA.

Output
Its energy relative to the elements is -0.02 eV/atom. Its total energy is -71.94 eV per cell.

Cell: 7.0838 7.0838 7.0838 Å, 90.00 90.00 90.00°
Fractional coordinates of all 16 atoms:
Li1 0.0000 0.0000 0.0000
Li2 0.0000 0.5000 0.5000
Li3 0.5000 0.0000 0.5000
Li4 0.5000 0.5000 0.0000
Ca1 0.2500 0.2500 0.7500
Ca2 0.2500 0.7500 0.2500
Ca3 0.7500 0.2500 0.2500
Ca4 0.7500 0.7500 0.7500
Sm1 0.2500 0.2500 0.2500
Sm2 0.2500 0.7500 0.7500
Sm3 0.7500 0.2500 0.7500
Sm4 0.7500 0.7500 0.2500
Ru1 0.0000 0.0000 0.5000
Ru2 0.0000 0.5000 0.0000
Ru3 0.5000 0.0000 0.0000
Ru4 0.5000 0.5000 0.5000

The records above yield D(E_F) values of 3.10; 2.16; 1.47; 1.14; 3.78; 2.74 states/eV/f.u., respectively.